Entry 1:
Computed, not measured: a geometry-optimized SmDySiHg structure at the PBE-GGA level of DFT.

As for the total energy: -4.22 eV/atom. The formation energy (no corrections) is -0.463 eV/atom.

The space group is F-43m (No. 216) and the conventional cell measures 7.304, 7.304 and 7.304 Å, with angles of 90.00, 90.00 and 90.00 degrees. The inequivalent atoms are Sm at (0.000, 0.000, 0.000), Dy at (0.000, 0.000, 0.500), Si at (0.250, 0.250, 0.250) and Hg at (0.250, 0.250, 0.750).

=====

Entry 2:
Computed, not measured: a geometry-optimized TbDySiHg structure at the PBE-GGA level of DFT.

As for the total energy: -4.20 eV/atom. The formation energy (no corrections) is -0.465 eV/atom.

The space group is F-43m (No. 216) and the conventional cell measures 7.243, 7.243 and 7.243 Å, with angles of 90.00, 90.00 and 90.00 degrees. The inequivalent atoms are Tb at (0.000, 0.000, 0.000), Dy at (0.000, 0.000, 0.500), Si at (0.250, 0.250, 0.250) and Hg at (0.250, 0.250, 0.750).

=====

Entry 3:
Computed, not measured: a geometry-optimized Sm2DyHg structure at the PBE-GGA level of DFT.

The value obtained for the formation energy from the elements is -0.141 eV per atom. As for the total energy: -3.73 eV/atom. As for the energy relative to the lowest polymorph listed for this composition: 86 meV/atom.

The space group is R3m (No. 160, hexagonal axes) and the conventional cell measures 3.6818, 3.6818 and 31.9775 Å, with angles of 90.00, 90.00 and 120.00 degrees. The inequivalent atoms are Sm at (0.0000, 0.0000, 0.0000), Sm at (0.0000, 0.0000, 0.1795), Dy at (0.0000, 0.0000, 0.4230) and Hg at (0.0000, 0.0000, 0.5897).

=====

Entry 4:
Computed, not measured: a geometry-optimized Sm2Dy6Hg structure at the PBE-GGA level of DFT.

The value obtained for the formation energy from the elements is 0.038 eV per atom. As for the total energy: -4.11 eV/atom.

The space group is Cmmm (No. 65) and the conventional cell measures 9.370, 17.381 and 3.542 Å, with angles of 90.00, 90.00 and 90.00 degrees. The inequivalent atoms are Sm at (0.000, 0.181, 0.000), Dy at (0.176, 0.339, 0.500), Dy at (0.208, 0.000, 0.000) and Hg at (0.000, 0.500, 0.500).